4
Lattice="0.000 2.829 2.829 2.829 0.000 2.829 2.829 2.829 0.000" Properties=species:S:1:pos:R:3 comment="BeCo2Ir (GGA-PBE, optimized geometry)" magmom_total_mub_per_cell=3.93 space_group=F-43m volume_a3_per_atom=11.3 total_energy_ev_per_fu=-27.21 crystal_system=cubic pbc="T T T"
Be 0.000 0.000 0.000
Co 2.829 2.829 2.829
Co 4.244 4.244 4.244
Ir 1.415 1.415 1.415